# LiVRu2 (GGA-PBE, optimized geometry)
# DFT total energy: -7.445 eV/atom
# total moment: 0.000 μB per atom
# E_form: -0.0486 eV/atom
data_LiVRu2
_symmetry_space_group_name_H-M 'P 4/m m m'
_symmetry_Int_Tables_number 123
_symmetry_space_group_name_Hall '-P 4 2'
_cell_length_a 2.997
_cell_length_b 2.997
_cell_length_c 5.745
_cell_angle_alpha 90.00
_cell_angle_beta 90.00
_cell_angle_gamma 90.00
loop_
_atom_site_label
_atom_site_type_symbol
_atom_site_fract_x
_atom_site_fract_y
_atom_site_fract_z
Li1 Li 0.000 0.000 0.000
V1 V 0.000 0.000 0.500
Ru1 Ru 0.500 0.500 0.246